1.
Material: Cs2CuSn
Method: DFT, PBE
State: optimized geometry Values from VASP.

The structure in Quantum ESPRESSO input format:
```
&SYSTEM
  ibrav = 0, nat = 4, ntyp = 3
/
ATOMIC_SPECIES
Sn 118.71 Sn.upf
Cs 132.91 Cs.upf
Cu 63.55 Cu.upf
ATOMIC_POSITIONS crystal
Sn 0.500 0.500 0.500
Cs 0.250 0.250 0.250
Cs 0.750 0.750 0.750
Cu 0.000 0.000 0.000
CELL_PARAMETERS angstrom
6.496 0.000 0.000
3.248 5.625 0.000
3.248 1.875 5.304
```

Output
crystal system = cubic
formation enthalpy at 0 K = 10.47 kcal/mol of atoms

---

2.
Material: CsCu3Sn
Method: DFT, PBE
State: optimized geometry Values from VASP.

The structure in Quantum ESPRESSO input format:
```
&SYSTEM
  ibrav = 0, nat = 5, ntyp = 3
/
ATOMIC_SPECIES
Cu 63.55 Cu.upf
Sn 118.71 Sn.upf
Cs 132.91 Cs.upf
ATOMIC_POSITIONS crystal
Cu 0.500 0.000 0.000
Cu 0.000 0.000 0.500
Cu 0.000 0.500 0.000
Sn 0.000 0.000 0.000
Cs 0.500 0.500 0.500
CELL_PARAMETERS angstrom
-3.635 0.601 -3.563
-2.265 -4.317 1.583
-2.816 2.697 3.327
```

Output
crystal system = cubic
formation enthalpy at 0 K = 7.47 kcal/mol of atoms

---

3.
Material: CsCu3Sn
Method: DFT, PBE
State: optimized geometry Values from VASP.

The structure in Quantum ESPRESSO input format:
```
&SYSTEM
  ibrav = 0, nat = 5, ntyp = 3
/
ATOMIC_SPECIES
Cu 63.55 Cu.upf
Cs 132.91 Cs.upf
Sn 118.71 Sn.upf
ATOMIC_POSITIONS crystal
Cu 0.000 0.500 0.000
Cu 0.000 0.000 0.500
Cu 0.500 0.000 0.000
Cs 0.000 0.000 0.000
Sn 0.500 0.500 0.500
CELL_PARAMETERS angstrom
-1.698 3.940 -3.227
-2.681 -3.584 -2.965
-4.330 0.674 3.102
```

Output
crystal system = cubic
formation enthalpy at 0 K = 37.76 kcal/mol of atoms

---

4.
Material: Cs3CuSn4
Method: DFT, PBE
State: optimized geometry Values from VASP.

The structure in Quantum ESPRESSO input format:
```
&SYSTEM
  ibrav = 0, nat = 16, ntyp = 3
/
ATOMIC_SPECIES
Cs 132.91 Cs.upf
Cu 63.55 Cu.upf
Sn 118.71 Sn.upf
ATOMIC_POSITIONS crystal
Cs 0.840 0.500 0.260
Cs 0.543 0.000 0.000
Cs 0.160 0.000 0.760
Cs 0.457 0.500 0.500
Cs 0.160 0.000 0.240
Cs 0.840 0.500 0.740
Cu 0.687 0.500 0.000
Cu 0.313 0.000 0.500
Sn 0.031 0.298 0.000
Sn 0.656 0.000 0.392
Sn 0.344 0.500 0.108
Sn 0.656 0.000 0.608
Sn 0.969 0.202 0.500
Sn 0.031 0.702 0.000
Sn 0.344 0.500 0.892
Sn 0.969 0.798 0.500
CELL_PARAMETERS angstrom
6.519 0.000 0.000
0.000 7.619 0.000
0.000 0.000 14.173
```

Output
crystal system = orthorhombic
formation enthalpy at 0 K = -6.02 kcal/mol of atoms

---

5.
Material: Cs2Cu2SnTe4
Method: DFT, PBE
State: optimized geometry Values from VASP.

The structure in Quantum ESPRESSO input format:
```
&SYSTEM
  ibrav = 0, nat = 9, ntyp = 4
/
ATOMIC_SPECIES
Sn 118.71 Sn.upf
Cs 132.91 Cs.upf
Te 127.60 Te.upf
Cu 63.55 Cu.upf
ATOMIC_POSITIONS crystal
Sn 0.000 0.000 0.000
Cs 0.588 0.281 0.644
Cs 0.412 0.719 0.356
Te 0.517 0.386 0.089
Te 0.729 0.098 0.281
Te 0.483 0.614 0.911
Te 0.271 0.902 0.719
Cu 0.966 0.277 0.130
Cu 0.034 0.723 0.870
CELL_PARAMETERS angstrom
-1.951 -3.104 -2.757
9.617 1.501 -2.456
1.322 -3.838 7.861
```

Output
crystal system = triclinic
total energy = -3.378 eV per atom

---

6.
Material: CsTl2CuSn
Method: DFT, PBE
State: optimized geometry Values from VASP.

The structure in Quantum ESPRESSO input format:
```
&SYSTEM
  ibrav = 0, nat = 5, ntyp = 4
/
ATOMIC_SPECIES
Tl 204.38 Tl.upf
Sn 118.71 Sn.upf
Cs 132.91 Cs.upf
Cu 63.55 Cu.upf
ATOMIC_POSITIONS crystal
Tl 0.000 0.500 0.000
Tl 0.500 0.000 0.000
Sn 0.000 0.000 0.500
Cs 0.500 0.500 0.500
Cu 0.000 0.000 0.000
CELL_PARAMETERS angstrom
5.661 0.000 0.000
0.000 5.661 0.000
0.000 0.000 5.211
```

Output
crystal system = tetragonal
formation enthalpy at 0 K = 2.91 kcal/mol of atoms